(1)
18
Lattice="3.824 -3.836 0.000 3.824 3.836 0.000 0.000 0.000 7.611" Properties=species:S:1:pos:R:3 comment="KTbFe4O12 (PBE with a Hubbard U, relaxed)" final_energy_ry_per_atom=-0.437 dos_at_fermi_per_ev_atom=0.540 volume_a3_per_atom=12.41 pbc="T T T"
Tb 3.824 0.103 3.805
O 2.001 -0.006 5.556
O 1.993 -1.900 0.000
O 5.648 -0.006 5.556
O 3.824 -1.805 2.180
O 3.824 -1.805 5.430
O 5.537 1.833 3.805
O 3.824 1.820 1.926
O 5.648 -0.006 2.054
O 5.656 -1.900 0.000
O 2.112 1.833 3.805
O 3.824 1.820 5.684
O 2.001 -0.006 2.054
Fe 1.925 -1.915 1.885
Fe 5.723 -1.915 5.726
Fe 1.925 -1.915 5.726
Fe 5.723 -1.915 1.885
K 3.824 3.818 0.000

***

(2)
16
Lattice="-4.596 -0.021 -5.062 4.441 -4.319 -4.014 -1.767 -2.193 6.231" Properties=species:S:1:pos:R:3 comment="K4Tb3FeO8 (PBE with a Hubbard U, relaxed)" final_energy_ry_per_atom=-0.467 dos_at_fermi_per_ev_atom=0.000 volume_a3_per_atom=15.78 pbc="T T T"
O 1.252 -3.915 -1.120
O -0.815 -2.542 0.750
O -3.174 -2.619 -1.725
O 0.323 -5.067 2.158
O -2.245 -1.466 -5.004
O -2.096 -5.078 -0.506
O 0.174 -1.455 -2.339
O -1.107 -3.991 -3.595
Tb -0.077 -2.170 -4.538
Tb -0.961 -3.267 -1.423
Tb 1.337 -3.256 1.108
K -0.884 -1.097 3.115
K 0.000 0.000 0.000
K -2.298 -0.010 -2.531
K -3.181 -1.107 0.584
Fe 2.220 -2.160 -2.007

***

(3)
12
Lattice="5.861 -0.001 0.002 -2.930 5.076 0.002 -0.975 -1.688 6.223" Properties=species:S:1:pos:R:3 comment="K3Tb2FeO6 (PBE with a Hubbard U, relaxed)" final_energy_ry_per_atom=-0.461 dos_at_fermi_per_ev_atom=0.000 volume_a3_per_atom=15.43 pbc="T T T"
K 0.978 1.693 3.114
K -1.988 3.406 3.114
K 3.944 -0.020 3.114
O -0.061 -0.105 5.093
O -0.915 1.585 1.139
O 2.871 1.802 5.089
O 0.126 3.387 5.089
O 2.017 3.492 1.135
O 1.830 -0.001 1.139
Fe 0.000 0.000 0.000
Tb -0.002 3.385 0.002
Tb 2.933 1.690 0.002

***

(4)
14
Lattice="-2.042 3.604 -3.654 4.026 -1.684 -3.910 -3.158 -7.454 -0.042" Properties=species:S:1:pos:R:3 comment="KFeTcO4 (PBE with a Hubbard U, relaxed)" final_energy_ry_per_atom=-0.487 dos_at_fermi_per_ev_atom=0.076 volume_a3_per_atom=16.68 pbc="T T T"
Tc -2.756 -2.691 -3.874
Tc 1.582 -2.843 -3.733
K -0.779 -5.952 -4.824
K -0.395 0.419 -2.783
O -1.415 -2.086 -2.754
O -0.867 0.170 -5.615
O -0.307 -5.703 -1.991
O 0.241 -3.448 -4.853
O -2.082 -4.961 -0.267
O -3.199 -4.391 -3.598
O 0.908 -0.572 -7.339
O 2.025 -1.142 -4.009
Fe -0.880 -3.672 -1.519
Fe -0.294 -1.861 -6.087

***

(5)
15
Lattice="-3.479 4.364 -0.261 1.895 -2.347 -4.703 -5.365 -4.279 -0.026" Properties=species:S:1:pos:R:3 comment="K3FeTc2O9 (PBE with a Hubbard U, relaxed)" final_energy_ry_per_atom=-0.476 dos_at_fermi_per_ev_atom=0.288 volume_a3_per_atom=12.37 pbc="T T T"
Tc -6.130 -1.415 -1.763
Tc -0.820 -0.847 -3.227
K -3.469 -2.960 -3.239
K -3.480 0.697 -1.750
K 0.000 0.000 0.000
O -0.792 1.008 -2.482
O -2.460 -0.469 -4.076
O -6.178 0.324 -1.041
O -5.259 -0.814 -3.322
O 0.947 -1.174 -2.351
O -1.740 2.182 -0.130
O -1.691 -1.448 -1.667
O -4.490 -1.793 -0.914
O -0.772 -2.587 -3.949
Fe -2.683 -2.139 -0.013

***

(6)
16
Lattice="-5.063 4.130 3.872 -5.340 0.714 -5.351 3.092 -6.554 2.333" Properties=species:S:1:pos:R:3 comment="K2FeTeO4 (PBE with a Hubbard U, relaxed)" final_energy_ry_per_atom=-0.382 dos_at_fermi_per_ev_atom=0.000 volume_a3_per_atom=17.45 pbc="T T T"
O -3.407 -1.371 -1.811
O -6.538 0.207 0.161
O -1.762 -1.915 0.634
O -5.439 3.070 1.855
O -2.376 -4.479 -1.186
O -4.426 -2.746 1.190
O 1.192 -5.578 1.900
O -3.404 -0.699 2.693
K -2.793 2.131 1.853
K -5.199 2.192 -0.774
K -6.067 -0.607 -2.281
K -3.527 1.005 4.863
Te -3.518 -1.131 0.762
Te -2.373 -5.409 -2.937
Fe -7.217 4.205 1.414
Fe -1.633 -2.554 -1.501